# SmNiC2O6 GGA+U relaxed
# Spin magnetization = 1.00 μB per formula unit
# Uncorrected energy = -7.21 eV/atom
data_SmNiC2O6
_cell_length_a 4.8793
_cell_length_b 4.8793
_cell_length_c 16.2716
_cell_angle_alpha 90.00
_cell_angle_beta 90.00
_cell_angle_gamma 120.00
_symmetry_space_group_name_H-M 'R -3'
_symmetry_Int_Tables_number 148
_symmetry_space_group_name_Hall '-R 3'
loop_
_atom_site_label
_atom_site_type_symbol
_atom_site_fract_x
_atom_site_fract_y
_atom_site_fract_z
Sm1 Sm 0.0000 0.0000 0.0000
Ni1 Ni 0.0000 0.0000 0.5000
C1 C 0.0000 0.0000 0.2424
O1 O 0.0320 0.7483 0.2461